Record 1
! SrZr2Zn | Alexandria via LeMat-Bulk | PBE-GGA | optimized geometry; values from VASP
&SYSTEM
  ibrav = 0, nat = 4, ntyp = 3
/
ATOMIC_SPECIES
Zr 91.22 Zr.upf
Sr 87.62 Sr.upf
Zn 65.41 Zn.upf
ATOMIC_POSITIONS angstrom
Zr 1.653 2.687 0.000
Zr 0.000 0.000 0.000
Sr 3.002 0.005 1.529
Zn -1.350 2.682 1.529
CELL_PARAMETERS angstrom
6.005 0.009 0.000
-2.699 5.364 0.000
0.000 0.000 3.058
! Theoretical density: 5.7 g/cm3
! Calculated formation energy: 506 meV/atom

Record 2
! MgZrSc2 | Alexandria via LeMat-Bulk | PBE-GGA | optimized geometry; values from VASP
&SYSTEM
  ibrav = 0, nat = 4, ntyp = 3
/
ATOMIC_SPECIES
Zr 91.22 Zr.upf
Sc 44.96 Sc.upf
Mg 24.30 Mg.upf
ATOMIC_POSITIONS angstrom
Zr 2.857 -3.023 1.728
Sc 1.605 -2.629 -1.116
Sc 5.721 -6.053 3.461
Mg 4.401 -5.588 0.575
CELL_PARAMETERS angstrom
-1.647 -2.373 -1.429
1.870 0.275 -2.610
5.744 -6.078 3.475
! Theoretical density: 3.6 g/cm3
! Calculated formation energy: -1 meV/atom

Record 3
! NiPb | Alexandria via LeMat-Bulk | PBE-GGA | optimized geometry; values from VASP
&SYSTEM
  ibrav = 0, nat = 12, ntyp = 2
/
ATOMIC_SPECIES
Pb 207.20 Pb.upf
Ni 58.69 Ni.upf
ATOMIC_POSITIONS angstrom
Pb 4.064 4.348 3.228
Pb 2.331 1.346 3.228
Pb 0.000 2.692 1.076
Pb -1.733 5.694 1.076
Pb 1.733 5.694 1.076
Pb 5.797 1.346 3.228
Ni 1.278 3.956 3.228
Ni 4.064 0.871 1.076
Ni 5.342 3.084 1.076
Ni -1.278 3.955 3.228
Ni 2.787 3.084 1.076
Ni 0.000 6.168 3.228
CELL_PARAMETERS angstrom
8.129 0.000 0.000
-4.064 7.040 0.000
0.000 0.000 4.305
! Theoretical density: 10.8 g/cm3
! Calculated formation energy: 142 meV/atom